Here is crystalline LaTiAl3 at its relaxed geometry from Alexandria. Energies are from GGA-PBE.

Lattice parameters (Å, degrees): 4.9467 4.9467 4.9467 90.00 90.00 90.00
Element x y z (fractional)
La 0.0000 0.0000 0.0000
Ti 0.5000 0.5000 0.5000
Al 0.0000 0.5000 0.5000
Al 0.5000 0.0000 0.5000
Al 0.5000 0.5000 0.0000

Output
For the density of states at the Fermi level, the calculation gives 0.67 states/eV per atom. The value obtained for the excess energy over the best structure of this formula in the dataset is 0 meV/atom. The value obtained for the formation energy is 0.17 eV/f.u. Its symmetry is Pm-3m (221).